# GGA-PBE BaHf3Os, optimized geometry
# **ΔE to the lowest computed polymorph**: 2374 meV per atom
# **ΔH_f (0 K)**: 2667 meV per atom
# **Volume**: 26.44 Å³ per atom
data_BaHf3Os
_chemical_formula_sum 'Ba1 Hf3 Os1'
_symmetry_space_group_name_H-M 'P m -3 m'
_symmetry_Int_Tables_number 221
_symmetry_space_group_name_Hall '-P 4 2 3'
_cell_length_a 5.094
_cell_length_b 5.094
_cell_length_c 5.094
_cell_angle_alpha 90.00
_cell_angle_beta 90.00
_cell_angle_gamma 90.00
loop_
_atom_site_label
_atom_site_type_symbol
_atom_site_fract_x
_atom_site_fract_y
_atom_site_fract_z
Ba1 Ba 0.000 0.000 0.000
Hf1 Hf 0.000 0.000 0.500
Os1 Os 0.500 0.500 0.500